# 1
DFT (PBE) results for a geometry-optimized Rb3Sb4Au structure.

- magnetization (μB per formula unit) = 0.00
- formation energy without anion corrections (eV/atom) = -0.221
- crystal system = orthorhombic
- raw total energy (eV per cell) = -48.873

abc: 6.9660 14.0335 6.3034
angles: 90.00 90.00 90.00
Element x y z (fractional)
Rb (0.2500, 0.0060, 0.1747)
Rb (0.2500, 0.2500, 0.5506)
Rb (0.2500, 0.4940, 0.1747)
Rb (0.7500, 0.5060, 0.8253)
Rb (0.7500, 0.7500, 0.4494)
Rb (0.7500, 0.9940, 0.8253)
Sb (0.0132, 0.7500, 0.9515)
Sb (0.2500, 0.6198, 0.6657)
Sb (0.2500, 0.8802, 0.6657)
Sb (0.4868, 0.7500, 0.9515)
Sb (0.5132, 0.2500, 0.0485)
Sb (0.7500, 0.1198, 0.3343)
Sb (0.7500, 0.3802, 0.3343)
Sb (0.9868, 0.2500, 0.0485)
Au (0.2500, 0.7500, 0.3197)
Au (0.7500, 0.2500, 0.6803)

=====

# 2
DFT (PBE) results for a geometry-optimized RbSbAu3 structure.

- magnetization (μB per formula unit) = 0.00
- formation energy without anion corrections (eV/atom) = 1.315
- crystal system = cubic
- raw total energy (eV per cell) = -8.346

abc: 5.6307 5.6307 5.6307
angles: 90.00 90.00 90.00
Element x y z (fractional)
Rb (0.0000, 0.0000, 0.0000)
Sb (0.5000, 0.5000, 0.5000)
Au (0.0000, 0.0000, 0.5000)
Au (0.0000, 0.5000, 0.0000)
Au (0.5000, 0.0000, 0.0000)